VASP calculation (PBE) on a relaxed structure of LiPSe.

relative energy among the computed polymorphs = 0.420 eV/atom
M_tot = 0.0 μB per cell
formation energy (no corrections) = -0.14 eV/atom

a = 8.1691 Å, b = 8.1691 Å, c = 2.6542 Å
α = 80.65°, β = 80.65°, γ = 18.70°
Element x y z (fractional)
Li 0.9963 0.9963 0.0037
P 0.3748 0.3748 0.6252
Se 0.6289 0.6289 0.3711

VASP calculation (PBE) on a relaxed structure of Mn2POsPt.

M_tot = 6.5 μB per cell
uncorrected energy = -6.8136 eV per atom

a = 4.6144 Å, b = 4.8748 Å, c = 4.6144 Å
α = 90.00°, β = 90.00°, γ = 90.00°
Each line ends with the local moment (μB).
Element x y z (fractional)
P 0.5000 0.5000 0.5000  -0.11
Mn 0.0000 0.0000 0.5000  3.31
Mn 0.5000 0.0000 0.0000  3.50
Os 0.0000 0.0000 0.0000  -0.44
Pt 0.0000 0.5000 0.0000  -0.14

Q: M_tot of number 2 (Mn2POsPt)?
A: 6.5 μB per cell